(1)
An optimized crystal structure of La3Mg4Ag4. Source: Alexandria via LeMat-Bulk, functional PBE.

energy: -3.208 eV per atom
density: 5.6 g/cm³
calculated formation energy: -248 meV per atom
symmetry: No. 71

a = 8.9308 Å, b = 8.9308 Å, c = 8.9308 Å
α = 151.00°, β = 125.58°, γ = 62.84°
Fractional positions:
La (0.0000, 0.0000, 0.0000)
La (0.3821, 0.8821, 0.5000)
La (0.6179, 0.1179, 0.5000)
Mg (0.0161, 0.3240, 0.6921)
Mg (0.3680, 0.6760, 0.6921)
Mg (0.6320, 0.3240, 0.3079)
Mg (0.9839, 0.6760, 0.3079)
Ag (0.2227, 0.2227, 0.0000)
Ag (0.3081, 0.5000, 0.8081)
Ag (0.6919, 0.5000, 0.1919)
Ag (0.7773, 0.7773, 0.0000)



(2)
An optimized crystal structure of Dy2PuMg. Source: Alexandria via LeMat-Bulk, functional PBE.

energy: -6.161 eV per atom
density: 8.6 g/cm³
calculated formation energy: 122 meV per atom
symmetry: No. 160

a = 3.4243 Å, b = 3.4243 Å, c = 33.8994 Å
α = 90.00°, β = 90.00°, γ = 120.00°
Fractional positions:
Dy (0.0000, 0.0000, 0.0000)
Dy (0.0000, 0.0000, 0.1678)
Dy (0.3333, 0.6667, 0.6667)
Dy (0.3333, 0.6667, 0.8345)
Dy (0.6667, 0.3333, 0.3333)
Dy (0.6667, 0.3333, 0.5012)
Pu (0.0000, 0.0000, 0.5841)
Pu (0.3333, 0.6667, 0.2507)
Pu (0.6667, 0.3333, 0.9174)
Mg (0.0000, 0.0000, 0.4173)
Mg (0.3333, 0.6667, 0.0840)
Mg (0.6667, 0.3333, 0.7506)



- What is the density in the second record?
  8.6 g/cm³



What did the second record say?
An optimized crystal structure of Dy2PuMg. Source: Alexandria via LeMat-Bulk, functional PBE.

energy: -6.161 eV per atom
density: 8.6 g/cm³
calculated formation energy: 122 meV per atom
symmetry: No. 160

a = 3.4243 Å, b = 3.4243 Å, c = 33.8994 Å
α = 90.00°, β = 90.00°, γ = 120.00°
Fractional positions:
Dy (0.0000, 0.0000, 0.0000)
Dy (0.0000, 0.0000, 0.1678)
Dy (0.3333, 0.6667, 0.6667)
Dy (0.3333, 0.6667, 0.8345)
Dy (0.6667, 0.3333, 0.3333)
Dy (0.6667, 0.3333, 0.5012)
Pu (0.0000, 0.0000, 0.5841)
Pu (0.3333, 0.6667, 0.2507)
Pu (0.6667, 0.3333, 0.9174)
Mg (0.0000, 0.0000, 0.4173)
Mg (0.3333, 0.6667, 0.0840)
Mg (0.6667, 0.3333, 0.7506)